(1)
Computed, not measured: crystalline NaPu2BO8 at its relaxed geometry at the PBE-GGA level of DFT.

**Electronic total energy**: -8.6385 eV per atom
**Uncorrected formation energy**: -2.278 eV per atom
**Fermi-level density of states**: 0.45 states/eV per atom

Cell lengths 4.1305, 6.1435, 7.0073 Å; angles 88.29, 83.95, 80.46 degrees
Closest atoms and distances in Å follow each position.
Sites, in units of the cell vectors:
O 0.5431 0.2851 0.4860  1 Pu 1.93
O 0.4417 0.3197 0.9356  1 Pu 1.85
Na 0.0000 0.0000 0.5000  4 O 2.36-2.45
O 0.9465 0.5032 0.7244  2 Pu 2.08
Pu 0.5648 0.4652 0.2560  2 O 1.85-1.93
B 0.0000 0.0000 0.0000  2 O 1.27
O 0.5583 0.6803 0.0644  1 Pu 1.85
O 0.9108 0.0850 0.1642  1 B 1.27
O 0.0535 0.4968 0.2756  2 Pu 2.08
Pu 0.4352 0.5348 0.7440  2 O 1.85-1.93
O 0.0892 0.9150 0.8358  1 B 1.27
O 0.4569 0.7149 0.5140  1 Pu 1.93

(2)
Computed, not measured: crystalline TlCdI2N at its relaxed geometry at the PBE-GGA level of DFT.

**Electronic total energy**: -2.1928 eV per atom
**Uncorrected formation energy**: 0.749 eV per atom
**Fermi-level density of states**: 0.90 states/eV per atom
**Relative energy among the computed polymorphs**: 2.19 eV/f.u.

Cell lengths 6.2671, 6.2671, 4.3858 Å; angles 90.00, 90.00, 90.00 degrees
Closest atoms and distances in Å follow each position.
Sites, in units of the cell vectors:
Tl 0.0000 0.0000 0.0000  2 N 2.19
I 0.5000 0.0000 0.0000  2 Tl 3.13
I 0.0000 0.5000 0.0000  2 Tl 3.13
Cd 0.5000 0.5000 0.5000  8 I 3.82
N 0.0000 0.0000 0.5000  2 Tl 2.19

In the order shown, the computed spin magnetization values come out to 4.0 1.6 μB per cell.